# 1
meta-GGA SCAN Hf2Ga3, single point on PBEsol structure; ΔE_f = -0.595 eV per atom
1.0
-0.951 -3.926 3.562
4.271 3.214 0.664
-5.420 4.595 1.555
Ga Hf
6 4
direct
0.538 0.177 0.729 Ga
0.427 0.288 0.229 Ga
0.448 0.809 0.271 Ga
0.059 0.198 0.771 Ga
0.876 0.376 0.500 Ga
0.626 0.626 0.000 Ga
0.019 0.884 0.395 Hf
0.489 0.624 0.605 Hf
0.134 0.769 0.895 Hf
0.874 0.239 0.105 Hf

***

# 2
meta-GGA SCAN CrCoNi2, single point on PBEsol structure; ΔE_f = 0.103 eV per atom
1.0
3.464 0.000 0.000
0.000 3.464 0.000
-1.732 -1.732 3.459
Co Ni Cr
1 2 1
direct
0.000 0.000 0.000 Co
0.750 0.250 0.500 Ni
0.500 0.500 0.000 Ni
0.250 0.750 0.500 Cr

***

| no. | spin magnetization (μB per formula unit) |
| --- | --- |
| 1 | 0.00 |
| 2 | 2.62 |